[1]
The following is a DFT calculation (PBE) of a relaxed HAuF2 crystal.

Cell lengths 6.3063, 6.3063, 6.3063 Å; angles 25.98, 25.98, 25.98 degrees
With the nearest neighbours (Å) after each atom.
Fractional positions:
H (0.0000, 0.0000, 0.0000)  6 F 1.88
Au (0.5000, 0.5000, 0.5000)  2 F 2.13
F (0.3835, 0.3835, 0.3835)  3 H 1.88
F (0.6165, 0.6165, 0.6165)  3 H 1.88

Properties
distance to the lowest polymorph of the same formula: 54.6 kJ/mol of formula units
magnetic moment: 0.000 μB per atom
N(E_F): 1.06 states/eV/cell
electronic total energy: -2.99 eV per atom
SG: R-3m

=====

[2]
The following is a DFT calculation (PBE) of a relaxed AcEuInSi crystal.

Cell lengths 5.5142, 5.5142, 5.5142 Å; angles 60.00, 60.00, 60.00 degrees
With the nearest neighbours (Å) after each atom.
Fractional positions:
Ac (0.0000, 0.0000, 0.0000)  4 In 3.38, 4 Si 3.38
Eu (0.5000, 0.5000, 0.5000)  4 In 3.38, 4 Si 3.38
In (0.7500, 0.7500, 0.7500)  4 Eu 3.38, 4 Ac 3.38
Si (0.2500, 0.2500, 0.2500)  4 Eu 3.38, 4 Ac 3.38

Properties
magnetic moment: 1.783 μB per atom
formation energy without anion corrections: -332 meV/atom
N(E_F): 4.54 states/eV/cell
electronic total energy: -5.97 eV per atom
SG: F-43m

=====

[3]
The following is a DFT calculation (PBE) of a relaxed Y6HoCo3 crystal.

Cell lengths 8.4177, 8.4177, 7.2471 Å; angles 90.00, 90.00, 93.84 degrees
With the nearest neighbours (Å) after each atom.
Fractional positions:
Y (0.0011, 0.5013, 0.5143)  2 Co 2.76-2.84
Y (0.0242, 0.9758, 0.5000)  4 Co 2.74-2.86
Y (0.2832, 0.2840, 0.2549)  1 Co 2.65
Y (0.2840, 0.2832, 0.7549)  1 Co 2.65
Y (0.3326, 0.6674, 0.7579)  4 Co 2.68-2.75
Y (0.4987, 0.9989, 0.5143)  2 Co 2.76-2.84
Y (0.5013, 0.0011, 0.0143)  2 Co 2.76-2.84
Y (0.6674, 0.3326, 0.2579)  4 Co 2.68-2.75
Y (0.7160, 0.7168, 0.2549)  1 Co 2.65
Y (0.7168, 0.7160, 0.7549)  1 Co 2.65
Y (0.9758, 0.0242, 0.0000)  4 Co 2.74-2.86
Y (0.9989, 0.4987, 0.0143)  2 Co 2.76-2.84
Ho (0.3201, 0.6799, 0.2578)  2 Co 2.85-2.87
Ho (0.6799, 0.3201, 0.7578)  2 Co 2.85-2.87
Co (0.0317, 0.7539, 0.7752)  1 Co 2.47, 4 Y 2.65-2.76
Co (0.2461, 0.9683, 0.7752)  1 Co 2.47, 4 Y 2.65-2.76
Co (0.4987, 0.5013, 0.5077)  2 Y 2.73-2.75, 2 Ho 2.85-2.87
Co (0.5013, 0.4987, 0.0077)  2 Y 2.73-2.75, 2 Ho 2.85-2.87
Co (0.7539, 0.0317, 0.2752)  1 Co 2.47, 4 Y 2.65-2.76
Co (0.9683, 0.2461, 0.2752)  1 Co 2.47, 4 Y 2.65-2.76

Properties
magnetic moment: 0.000 μB per atom
N(E_F): 19.43 states/eV/cell
electronic total energy: -6.51 eV per atom
SG: Cmc2_1

=====

[4]
The following is a DFT calculation (PBE) of a relaxed ZrTi2PPb crystal.

Cell lengths 5.1043, 5.1043, 5.4436 Å; angles 90.00, 90.00, 90.00 degrees
With the nearest neighbours (Å) after each atom.
Fractional positions:
Zr (0.0000, 0.0000, 0.0000)  2 Pb 2.72
Ti (0.0000, 0.5000, 0.5000)  2 Pb 2.55
Ti (0.5000, 0.0000, 0.5000)  2 Pb 2.55
P (0.5000, 0.5000, 0.0000)  4 Zr 3.61, 8 Ti 3.73
Pb (0.0000, 0.0000, 0.5000)  4 Ti 2.55, 2 Zr 2.72

Properties
magnetic moment: 0.933 μB per atom
N(E_F): 8.65 states/eV/cell
electronic total energy: -5.38 eV per atom
SG: P4/mmm

=====

[5]
The following is a DFT calculation (PBE) of a relaxed MnV6Os2 crystal.

Cell lengths 6.9757, 6.9757, 6.9757 Å; angles 145.66, 131.38, 60.87 degrees
With the nearest neighbours (Å) after each atom.
Fractional positions:
Mn (0.0000, 0.0000, 0.0000)  8 V 2.38-2.46
V (0.0844, 0.8405, 0.2439)  1 Mn 2.38, 3 Os 2.51-2.53
V (0.2343, 0.5000, 0.7343)  2 Mn 2.46, 2 Os 2.52, 1 V 2.69
V (0.4034, 0.1595, 0.2439)  1 Mn 2.38, 3 Os 2.51-2.53
V (0.5966, 0.8405, 0.7561)  1 Mn 2.38, 3 Os 2.51-2.53
V (0.7657, 0.5000, 0.2657)  2 Mn 2.46, 2 Os 2.52, 1 V 2.69
V (0.9156, 0.1595, 0.7561)  1 Mn 2.38, 3 Os 2.51-2.53
Os (0.3329, 0.3329, 0.0000)  8 V 2.51-2.53
Os (0.6671, 0.6671, 0.0000)  8 V 2.51-2.53

Properties
magnetic moment: 0.000 μB per atom
N(E_F): 7.35 states/eV/cell
electronic total energy: -9.27 eV per atom
SG: Immm

=====

[6]
The following is a DFT calculation (PBE) of a relaxed La2YCo crystal.

Cell lengths 6.1139, 6.1139, 6.1139 Å; angles 136.83, 136.83, 62.70 degrees
With the nearest neighbours (Å) after each atom.
Fractional positions:
La (0.2500, 0.7500, 0.5000)  4 La 3.18, 4 Co 3.45, 4 Y 3.45
La (0.7500, 0.2500, 0.5000)  4 La 3.18, 4 Co 3.45, 4 Y 3.45
Y (0.0000, 0.0000, 0.0000)  4 Co 3.18, 8 La 3.45
Co (0.5000, 0.5000, 0.0000)  4 Y 3.18, 8 La 3.45

Properties
distance to the lowest polymorph of the same formula: 164.1 kJ/mol of formula units
magnetic moment: 0.204 μB per atom
N(E_F): 6.91 states/eV/cell
electronic total energy: -5.53 eV per atom
SG: I4/mmm

=====

[7]
The following is a DFT calculation (PBE) of a relaxed TiZn2Cu crystal.

Cell lengths 2.6135, 4.1734, 5.4131 Å; angles 90.00, 102.61, 90.00 degrees
With the nearest neighbours (Å) after each atom.
Fractional positions:
Ti (0.0000, 0.0000, 0.0000)  2 Ti 2.61, 2 Cu 2.74, 8 Zn 2.78-2.88
Zn (0.3399, 0.5000, 0.7365)  2 Cu 2.53, 4 Zn 2.61-2.79, 2 Ti 2.78
Zn (0.6601, 0.5000, 0.2635)  2 Cu 2.53, 4 Zn 2.61-2.79, 2 Ti 2.78
Cu (0.5000, 0.0000, 0.5000)  4 Zn 2.53, 2 Cu 2.61, 2 Ti 2.74

Properties
magnetic moment: 0.000 μB per atom
N(E_F): 1.91 states/eV/cell
electronic total energy: -3.72 eV per atom
SG: P2/m

=====

[8]
The following is a DFT calculation (PBE) of a relaxed Bi8AsAuCl9 crystal.

Cell lengths 10.5535, 15.0747, 14.7200 Å; angles 90.00, 91.81, 90.00 degrees
With the nearest neighbours (Å) after each atom.
Fractional positions:
Bi (0.0514, 0.1372, 0.2022)  4 Cl 2.67-2.90, 1 As 2.76
Bi (0.0514, 0.3628, 0.7022)  4 Cl 2.67-2.90, 1 As 2.76
Bi (0.0662, 0.6392, 0.6963)  4 Cl 2.70-2.84, 1 As 2.77
Bi (0.0662, 0.8608, 0.1963)  4 Cl 2.70-2.84, 1 As 2.77
Bi (0.2202, 0.0485, 0.5296)  1 Au 2.92, 4 Bi 3.20-3.26, 1 Cl 3.26
Bi (0.2202, 0.4515, 0.0296)  1 Au 2.92, 4 Bi 3.20-3.26, 1 Cl 3.26
Bi (0.3057, 0.6523, 0.9755)  1 Au 2.93, 4 Bi 3.22-3.27, 1 Cl 3.28
Bi (0.3057, 0.8477, 0.4755)  1 Au 2.93, 4 Bi 3.22-3.27, 1 Cl 3.28
Bi (0.3369, 0.0101, 0.0607)  4 Cl 2.68-2.87, 1 As 2.77
Bi (0.3369, 0.4899, 0.5607)  4 Cl 2.68-2.87, 1 As 2.77
Bi (0.3781, 0.5745, 0.1742)  1 Au 2.93, 3 Bi 3.22-3.27, 2 Cl 3.25
Bi (0.3781, 0.9255, 0.6742)  1 Au 2.93, 3 Bi 3.22-3.27, 2 Cl 3.25
Bi (0.4130, 0.1884, 0.4365)  1 Au 2.93, 4 Bi 3.24-3.27, 1 Cl 3.27
Bi (0.4130, 0.3116, 0.9365)  1 Au 2.93, 4 Bi 3.24-3.27, 1 Cl 3.27
Bi (0.4446, 0.1375, 0.6495)  1 Au 2.93, 3 Bi 3.20-3.27
Bi (0.4446, 0.3625, 0.1495)  1 Au 2.93, 3 Bi 3.20-3.27
Bi (0.5554, 0.6375, 0.8505)  1 Au 2.93, 3 Bi 3.20-3.27
Bi (0.5554, 0.8625, 0.3505)  1 Au 2.93, 3 Bi 3.20-3.27
Bi (0.5870, 0.6884, 0.0635)  1 Au 2.93, 4 Bi 3.24-3.27, 1 Cl 3.27
Bi (0.5870, 0.8116, 0.5635)  1 Au 2.93, 4 Bi 3.24-3.27, 1 Cl 3.27
Bi (0.6219, 0.0745, 0.3258)  1 Au 2.93, 3 Bi 3.22-3.27, 2 Cl 3.25
Bi (0.6219, 0.4255, 0.8258)  1 Au 2.93, 3 Bi 3.22-3.27, 2 Cl 3.25
Bi (0.6631, 0.5101, 0.4393)  4 Cl 2.68-2.87, 1 As 2.77
Bi (0.6631, 0.9899, 0.9393)  4 Cl 2.68-2.87, 1 As 2.77
Bi (0.6943, 0.1523, 0.5245)  1 Au 2.93, 4 Bi 3.22-3.27, 1 Cl 3.28
Bi (0.6943, 0.3477, 0.0245)  1 Au 2.93, 4 Bi 3.22-3.27, 1 Cl 3.28
Bi (0.7798, 0.5485, 0.9704)  1 Au 2.92, 4 Bi 3.20-3.26, 1 Cl 3.26
Bi (0.7798, 0.9515, 0.4704)  1 Au 2.92, 4 Bi 3.20-3.26, 1 Cl 3.26
Bi (0.9338, 0.1392, 0.8037)  4 Cl 2.70-2.84, 1 As 2.77
Bi (0.9338, 0.3608, 0.3037)  4 Cl 2.70-2.84, 1 As 2.77
Bi (0.9486, 0.6372, 0.2978)  4 Cl 2.67-2.90, 1 As 2.76
Bi (0.9486, 0.8628, 0.7978)  4 Cl 2.67-2.90, 1 As 2.76
As (0.2269, 0.0034, 0.2286)  1 Au 2.58, 3 Bi 2.76-2.77
As (0.2269, 0.4966, 0.7286)  1 Au 2.58, 3 Bi 2.76-2.77
As (0.7731, 0.5034, 0.2714)  1 Au 2.58, 3 Bi 2.76-2.77
As (0.7731, 0.9966, 0.7714)  1 Au 2.58, 3 Bi 2.76-2.77
Au (0.3727, 0.0064, 0.3728)  1 As 2.58
Au (0.3727, 0.4936, 0.8728)  1 As 2.58
Au (0.6273, 0.5064, 0.1272)  1 As 2.58
Au (0.6273, 0.9936, 0.6272)  1 As 2.58
Cl (0.0060, 0.6261, 0.1227)  1 Bi 2.67
Cl (0.0060, 0.8739, 0.6227)  1 Bi 2.67
Cl (0.0235, 0.6405, 0.8769)  1 Bi 2.71
Cl (0.0235, 0.8595, 0.3769)  1 Bi 2.71
Cl (0.1204, 0.0046, 0.8228)  2 Bi 2.82-2.84
Cl (0.1204, 0.4954, 0.3228)  2 Bi 2.82-2.84
Cl (0.1742, 0.1530, 0.0298)  2 Bi 2.78-2.90
Cl (0.1742, 0.3470, 0.5298)  2 Bi 2.78-2.90
Cl (0.1751, 0.6396, 0.5247)  2 Bi 2.81-2.87
Cl (0.1751, 0.8604, 0.0247)  2 Bi 2.81-2.87
Cl (0.2277, 0.2467, 0.7674)  1 Bi 2.71
Cl (0.2277, 0.2533, 0.2674)  1 Bi 2.71
Cl (0.2599, 0.7442, 0.7550)  1 Bi 2.70
Cl (0.2599, 0.7558, 0.2550)  1 Bi 2.70
Cl (0.4844, 0.1067, 0.8728)  1 Bi 2.74
Cl (0.4844, 0.3933, 0.3728)  1 Bi 2.74
Cl (0.4979, 0.6298, 0.3720)  1 Bi 2.68
Cl (0.4979, 0.8702, 0.8720)  1 Bi 2.68
Cl (0.5021, 0.1298, 0.1280)  1 Bi 2.68
Cl (0.5021, 0.3702, 0.6280)  1 Bi 2.68
Cl (0.5156, 0.6067, 0.6272)  1 Bi 2.74
Cl (0.5156, 0.8933, 0.1272)  1 Bi 2.74
Cl (0.7401, 0.2442, 0.7450)  1 Bi 2.70
Cl (0.7401, 0.2558, 0.2450)  1 Bi 2.70
Cl (0.7723, 0.7467, 0.7326)  1 Bi 2.71
Cl (0.7723, 0.7533, 0.2326)  1 Bi 2.71
Cl (0.8249, 0.1396, 0.9753)  2 Bi 2.81-2.87
Cl (0.8249, 0.3604, 0.4753)  2 Bi 2.81-2.87
Cl (0.8258, 0.6530, 0.4702)  2 Bi 2.78-2.90
Cl (0.8258, 0.8470, 0.9702)  2 Bi 2.78-2.90
Cl (0.8796, 0.5046, 0.6772)  2 Bi 2.82-2.84
Cl (0.8796, 0.9954, 0.1772)  2 Bi 2.82-2.84
Cl (0.9765, 0.1405, 0.6231)  1 Bi 2.71
Cl (0.9765, 0.3595, 0.1231)  1 Bi 2.71
Cl (0.9940, 0.1261, 0.3773)  1 Bi 2.67
Cl (0.9940, 0.3739, 0.8773)  1 Bi 2.67

Properties
magnetic moment: 0.000 μB per atom
formation energy without anion corrections: -621 meV/atom
electronic total energy: -3.55 eV per atom
SG: P2_1/c

=====

[9]
The following is a DFT calculation (PBE) of a relaxed K2LiFe crystal.

Cell lengths 12.0105, 12.0105, 12.0105 Å; angles 17.61, 17.61, 17.61 degrees
With the nearest neighbours (Å) after each atom.
Fractional positions:
K (0.2420, 0.2420, 0.2420)  3 Fe 3.41, 6 K 3.68
K (0.7580, 0.7580, 0.7580)  3 Fe 3.41, 6 K 3.68
Li (0.0000, 0.0000, 0.0000)  6 Li 3.68, 6 K 3.87
Fe (0.5000, 0.5000, 0.5000)  6 K 3.41, 6 Fe 3.68

Properties
distance to the lowest polymorph of the same formula: 85.2 kJ/mol of formula units
magnetic moment: 0.826 μB per atom
N(E_F): 5.76 states/eV/cell
electronic total energy: -2.26 eV per atom
SG: R-3m

=====

[10]
The following is a DFT calculation (PBE) of a relaxed SrAc5Tl8 crystal.

Cell lengths 8.6887, 8.6887, 8.6887 Å; angles 109.37, 109.37, 109.68 degrees
With the nearest neighbours (Å) after each atom.
Fractional positions:
Sr (0.0000, 0.0000, 0.0000)  8 Tl 3.41-3.48
Ac (0.1303, 0.2539, 0.6294)  8 Tl 3.45-3.50
Ac (0.2500, 0.7500, 0.5000)  8 Tl 3.46-3.48
Ac (0.4991, 0.8697, 0.1236)  8 Tl 3.45-3.50
Ac (0.6245, 0.5009, 0.3706)  8 Tl 3.45-3.50
Ac (0.7461, 0.3755, 0.8764)  8 Tl 3.45-3.50
Tl (0.0407, 0.6244, 0.7487)  5 Ac 3.46-3.49, 1 Sr 3.48, 3 Tl 3.68-3.76
Tl (0.1989, 0.4508, 0.0802)  1 Sr 3.41, 5 Ac 3.45-3.50, 3 Tl 3.68-3.76
Tl (0.3706, 0.1187, 0.9198)  1 Sr 3.41, 5 Ac 3.45-3.50, 3 Tl 3.68-3.76
Tl (0.3756, 0.1243, 0.4163)  5 Ac 3.46-3.49, 1 Sr 3.48, 3 Tl 3.68-3.76
Tl (0.5492, 0.6294, 0.7481)  1 Sr 3.41, 5 Ac 3.45-3.50, 3 Tl 3.68-3.76
Tl (0.7080, 0.9593, 0.5837)  5 Ac 3.46-3.49, 1 Sr 3.48, 3 Tl 3.68-3.76
Tl (0.8757, 0.2920, 0.2513)  5 Ac 3.46-3.49, 1 Sr 3.48, 3 Tl 3.68-3.76
Tl (0.8813, 0.8011, 0.2519)  1 Sr 3.41, 5 Ac 3.45-3.50, 3 Tl 3.68-3.76

Properties
magnetic moment: 0.000 μB per atom
N(E_F): 11.90 states/eV/cell
electronic total energy: -3.24 eV per atom
SG: I-4

=====

[11]
The following is a DFT calculation (PBE) of a relaxed Na3TiMn2Se6 crystal.

Cell lengths 6.6382, 6.6382, 7.2541 Å; angles 98.67, 98.67, 120.28 degrees
With the nearest neighbours (Å) after each atom.
Fractional positions:
Na (0.0000, 0.0000, 0.0000)  6 Se 2.99-3.02
Na (0.3315, 0.6685, 0.0000)  6 Se 2.99-3.01
Na (0.6685, 0.3315, 0.0000)  6 Se 2.99-3.01
Ti (0.5000, 0.5000, 0.5000)  6 Se 2.60-2.61
Mn (0.1661, 0.8339, 0.5000)  6 Se 2.63-2.66
Mn (0.8339, 0.1661, 0.5000)  6 Se 2.63-2.66
Se (0.1012, 0.4298, 0.2937)  1 Ti 2.61, 2 Mn 2.63-2.66
Se (0.2417, 0.2417, 0.7076)  1 Ti 2.60, 2 Mn 2.65
Se (0.4298, 0.1012, 0.2937)  1 Ti 2.61, 2 Mn 2.63-2.66
Se (0.5702, 0.8988, 0.7063)  1 Ti 2.61, 2 Mn 2.63-2.66
Se (0.7583, 0.7583, 0.2924)  1 Ti 2.60, 2 Mn 2.65
Se (0.8988, 0.5702, 0.7063)  1 Ti 2.61, 2 Mn 2.63-2.66

Properties
magnetic moment: 0.750 μB per atom
formation energy without anion corrections: -878 meV/atom
N(E_F): 5.17 states/eV/cell
electronic total energy: -5.14 eV per atom
SG: C2/m

=====

[12]
The following is a DFT calculation (PBE) of a relaxed KScB2P crystal.

Cell lengths 4.5336, 4.5336, 5.6062 Å; angles 90.00, 90.00, 90.00 degrees
With the nearest neighbours (Å) after each atom.
Fractional positions:
K (0.0000, 0.0000, 0.0000)  2 Sc 2.80
Sc (0.0000, 0.0000, 0.5000)  4 B 2.27
B (0.0000, 0.5000, 0.5000)  2 Sc 2.27
B (0.5000, 0.0000, 0.5000)  2 Sc 2.27
P (0.5000, 0.5000, 0.0000)  4 K 3.21

Properties
distance to the lowest polymorph of the same formula: 360.5 kJ/mol of formula units
magnetic moment: 0.000 μB per atom
N(E_F): 3.47 states/eV/cell
electronic total energy: -3.46 eV per atom
SG: P4/mmm